(1)
A crystal of Ba2SrLi relaxed with PBEsol. Source: Alexandria via LeMat-Bulk, functional meta-GGA SCAN.

Computed properties:
- Offset from the most stable computed form: 0.0589 eV per atom
- DOS at the Fermi energy: 1.29 states/eV per atom
- ρ: 3.065 g cm⁻³
- Formation energy: 0.079 eV per atom
- Symmetry: No. 65

```
Ba2SrLi
1.0
4.604 -4.665 0.000
4.604 4.665 0.000
0.000 0.000 4.657
Ba Sr Li
2 1 1
direct
0.000 0.500 0.000
0.500 0.000 0.000
0.000 0.000 0.500
0.500 0.500 0.500
```


(2)
A crystal of Ba2SrLi relaxed with PBEsol. Source: Alexandria via LeMat-Bulk, functional meta-GGA SCAN.

Computed properties:
- Offset from the most stable computed form: 0.0000 eV per atom
- DOS at the Fermi energy: 0.93 states/eV per atom
- ρ: 3.196 g cm⁻³
- Formation energy: 0.020 eV per atom
- Symmetry: No. 99

```
Ba2SrLi
1.0
4.290 0.000 0.000
0.000 4.290 0.000
0.000 0.000 10.422
Ba Sr Li
2 1 1
direct
0.000 0.000 0.000
0.500 0.500 0.311
0.500 0.500 0.705
0.000 0.000 0.519
```


(3)
A crystal of BaSrLi relaxed with PBEsol. Source: Alexandria via LeMat-Bulk, functional meta-GGA SCAN.

Computed properties:
- Offset from the most stable computed form: 0.0000 eV per atom
- DOS at the Fermi energy: 1.05 states/eV per atom
- ρ: 2.902 g cm⁻³
- Formation energy: 0.020 eV per atom
- Symmetry: No. 107

```
BaSrLi
1.0
-2.147 2.147 7.196
2.147 -2.147 7.196
2.147 2.147 -7.196
Ba Sr Li
1 1 1
direct
0.000 0.000 0.000
0.714 0.714 0.000
0.348 0.348 0.000
```